PBE-GGA LiP2Au2, relaxed; V = 20.10 Å³/atom; space group = I4/mmm; polymorph energy (0 for the lowest one) = 0.000 eV/f.u.; E_tot = -3.84 eV/atom; total magnetization = 0.000 μB/f.u.; ΔE_f = 0.020 eV per atom
1.0
4.7744 0.0000 0.0000
0.0000 4.7744 0.0000
2.3872 2.3872 4.4084
P Au Li
2 2 1
direct
0.7500 0.2500 0.5000 P
0.2500 0.7500 0.5000 P
0.3336 0.3336 0.3329 Au
0.6664 0.6664 0.6671 Au
0.0000 0.0000 0.0000 Li